Entry from the Alexandria database: an optimized crystal structure of NdErMg2Hg4 (GGA-PBE).

Output
calculated formation energy	-0.46	eV/atom
DOS at the Fermi energy	2.48	states/eV per cell
volume	23.64	Å³ per atom
electronic total energy	-17.4	eV per cell
crystal system	trigonal

```
NdErMg2Hg4
1.0
-2.011 0.175 4.683
-4.062 -2.864 1.139
3.052 -7.136 4.355
Hg Mg Er Nd
4 2 1 1
Cartesian
1.108 -4.746 3.430
0.336 -7.181 5.966
-4.129 -5.078 6.746
-3.356 -2.644 4.210
-0.747 -2.466 2.548
-2.273 -7.359 7.628
-1.510 -4.912 5.088
0.000 0.000 0.000
```

Entry from the Alexandria database: an optimized crystal structure of NdErMgHg (GGA-PBE).

Output
calculated formation energy	-0.28	eV/atom
DOS at the Fermi energy	4.54	states/eV per cell
volume	27.20	Å³ per atom
electronic total energy	-12.3	eV per cell
energy above the lowest structure with this stoichiometry	0	meV/atom
crystal system	tetragonal

```
NdErMgHg
1.0
-3.282 1.204 1.420
-1.813 -1.411 -2.993
-0.859 -6.656 3.658
Nd Mg Hg Er
1 1 1 1
Cartesian
-0.736 -5.706 3.136
-3.055 -4.039 1.377
-2.658 -0.965 -0.313
-0.301 -2.330 1.280
```